Below is an optimized crystal structure of BPtSe2, with properties calculated at the PBE level.

Summary:
- total DFT energy (no corrections) (eV/f.u.) = -19.12
- space group = I-42d, No. 122
- formation energy without anion corrections (kcal/mol of atoms) = 3.26

CIF file:
```
data_BPtSe2
_space_group_name_H-M_alt 'P 1'
_space_group_IT_number 1
_cell_length_a 5.508
_cell_length_b 5.508
_cell_length_c 6.173
_cell_angle_alpha 63.50
_cell_angle_beta 63.50
_cell_angle_gamma 90.00
loop_
_space_group_symop_operation_xyz
'x,y,z'
loop_
_atom_site_label
_atom_site_type_symbol
_atom_site_fract_x
_atom_site_fract_y
_atom_site_fract_z
_atom_site_occupancy
B1 B 0.500 0.500 0.000 1
B2 B 0.250 0.750 0.500 1
Se1 Se 0.568 0.125 0.250 1
Se2 Se 0.182 0.625 0.250 1
Se3 Se 0.375 0.432 0.750 1
Se4 Se 0.875 0.818 0.750 1
Pt1 Pt 0.000 0.000 0.000 1
Pt2 Pt 0.750 0.250 0.500 1
```

---

Below is an optimized crystal structure of CdPtF3, with properties calculated at the PBE level.

Summary:
- total DFT energy (no corrections) (eV/f.u.) = -16.35
- space group = Pm-3m, No. 221
- formation energy without anion corrections (kcal/mol of atoms) = -17.42
- polymorph energy (0 for the lowest one) (meV/atom) = 77

CIF file:
```
data_CdPtF3
_space_group_name_H-M_alt 'P 1'
_space_group_IT_number 1
_cell_length_a 4.394
_cell_length_b 4.394
_cell_length_c 4.394
_cell_angle_alpha 90.00
_cell_angle_beta 90.00
_cell_angle_gamma 90.00
loop_
_space_group_symop_operation_xyz
'x,y,z'
loop_
_atom_site_label
_atom_site_type_symbol
_atom_site_fract_x
_atom_site_fract_y
_atom_site_fract_z
_atom_site_occupancy
F1 F 0.000 0.500 0.000 1
F2 F 0.000 0.000 0.500 1
F3 F 0.500 0.000 0.000 1
Pt1 Pt 0.500 0.500 0.500 1
Cd1 Cd 0.000 0.000 0.000 1
```

---

Below is an optimized crystal structure of NpZnN, with properties calculated at the PBE level.

Summary:
- total DFT energy (no corrections) (eV/f.u.) = -23.23
- space group = P-3m1, No. 164
- formation energy without anion corrections (kcal/mol of atoms) = -5.29
- polymorph energy (0 for the lowest one) (meV/atom) = 0

CIF file:
```
data_NpZnN
_space_group_name_H-M_alt 'P 1'
_space_group_IT_number 1
_cell_length_a 3.685
_cell_length_b 3.685
_cell_length_c 9.866
_cell_angle_alpha 90.00
_cell_angle_beta 90.00
_cell_angle_gamma 120.00
loop_
_space_group_symop_operation_xyz
'x,y,z'
loop_
_atom_site_label
_atom_site_type_symbol
_atom_site_fract_x
_atom_site_fract_y
_atom_site_fract_z
_atom_site_occupancy
Np1 Np 0.000 0.000 0.690 1
Np2 Np 0.000 0.000 0.310 1
Zn1 Zn 0.333 0.667 0.929 1
Zn2 Zn 0.667 0.333 0.071 1
N1 N 0.667 0.333 0.646 1
N2 N 0.333 0.667 0.354 1
```

---

Below is an optimized crystal structure of Mg2Tl3, with properties calculated at the PBE level.

Summary:
- energy relative to the elements (meV/atom) = 27
- total DFT energy (no corrections) (eV/f.u.) = -10.15
- space group = P-3m1, No. 164
- polymorph energy (0 for the lowest one) (meV/atom) = 51

CIF file:
```
data_Mg2Tl3
_space_group_name_H-M_alt 'P 1'
_space_group_IT_number 1
_cell_length_a 5.033
_cell_length_b 5.033
_cell_length_c 6.345
_cell_angle_alpha 90.00
_cell_angle_beta 90.00
_cell_angle_gamma 120.00
loop_
_space_group_symop_operation_xyz
'x,y,z'
loop_
_atom_site_label
_atom_site_type_symbol
_atom_site_fract_x
_atom_site_fract_y
_atom_site_fract_z
_atom_site_occupancy
Mg1 Mg 0.667 0.333 0.143 1
Mg2 Mg 0.333 0.667 0.857 1
Tl1 Tl 0.000 0.000 0.000 1
Tl2 Tl 0.667 0.333 0.634 1
Tl3 Tl 0.333 0.667 0.366 1
```

---

Below is an optimized crystal structure of KCo2Cu, with properties calculated at the PBE level.

Summary:
- energy relative to the elements (meV/atom) = 1031
- total DFT energy (no corrections) (eV/f.u.) = -15.28
- space group = Pmmm, No. 47
- polymorph energy (0 for the lowest one) (meV/atom) = 503

CIF file:
```
data_KCo2Cu
_space_group_name_H-M_alt 'P 1'
_space_group_IT_number 1
_cell_length_a 2.599
_cell_length_b 4.840
_cell_length_c 5.132
_cell_angle_alpha 90.00
_cell_angle_beta 90.00
_cell_angle_gamma 90.00
loop_
_space_group_symop_operation_xyz
'x,y,z'
loop_
_atom_site_label
_atom_site_type_symbol
_atom_site_fract_x
_atom_site_fract_y
_atom_site_fract_z
_atom_site_occupancy
Co1 Co 0.000 0.000 0.000 1
Co2 Co 0.500 0.500 0.000 1
Cu1 Cu 0.500 0.000 0.500 1
K1 K 0.000 0.500 0.500 1
```

---

Below is an optimized crystal structure of MgPW2, with properties calculated at the PBE level.

Summary:
- energy relative to the elements (meV/atom) = 700
- total DFT energy (no corrections) (eV/f.u.) = -30.11
- space group = Fm-3m, No. 225
- polymorph energy (0 for the lowest one) (meV/atom) = 605

CIF file:
```
data_MgPW2
_space_group_name_H-M_alt 'P 1'
_space_group_IT_number 1
_cell_length_a 4.389
_cell_length_b 4.389
_cell_length_c 4.389
_cell_angle_alpha 60.00
_cell_angle_beta 60.00
_cell_angle_gamma 60.00
loop_
_space_group_symop_operation_xyz
'x,y,z'
loop_
_atom_site_label
_atom_site_type_symbol
_atom_site_fract_x
_atom_site_fract_y
_atom_site_fract_z
_atom_site_occupancy
P1 P 0.500 0.500 0.500 1
Mg1 Mg 0.000 0.000 0.000 1
W1 W 0.250 0.250 0.250 1
W2 W 0.750 0.750 0.750 1
```

---

Below is an optimized crystal structure of FeAs2Br, with properties calculated at the PBE level.

Summary:
- total DFT energy (no corrections) (eV/f.u.) = -16.51
- space group = P4/mmm, No. 123
- formation energy without anion corrections (kcal/mol of atoms) = 16.87
- polymorph energy (0 for the lowest one) (meV/atom) = 762

CIF file:
```
data_FeAs2Br
_space_group_name_H-M_alt 'P 1'
_space_group_IT_number 1
_cell_length_a 5.062
_cell_length_b 5.062
_cell_length_c 2.964
_cell_angle_alpha 90.00
_cell_angle_beta 90.00
_cell_angle_gamma 90.00
loop_
_space_group_symop_operation_xyz
'x,y,z'
loop_
_atom_site_label
_atom_site_type_symbol
_atom_site_fract_x
_atom_site_fract_y
_atom_site_fract_z
_atom_site_occupancy
As1 As 0.000 0.000 0.000 1
As2 As 0.500 0.500 0.000 1
Br1 Br 0.500 0.000 0.500 1
Fe1 Fe 0.000 0.500 0.500 1
```

---

Below is an optimized crystal structure of GaS6O2, with properties calculated at the PBE level.

Summary:
- total DFT energy (no corrections) (eV/f.u.) = -40.67
- space group = C2/c, No. 15
- formation energy without anion corrections (kcal/mol of atoms) = -7.59

CIF file:
```
data_GaS6O2
_space_group_name_H-M_alt 'P 1'
_space_group_IT_number 1
_cell_length_a 11.370
_cell_length_b 4.963
_cell_length_c 11.370
_cell_angle_alpha 60.22
_cell_angle_beta 66.01
_cell_angle_gamma 60.22
loop_
_space_group_symop_operation_xyz
'x,y,z'
loop_
_atom_site_label
_atom_site_type_symbol
_atom_site_fract_x
_atom_site_fract_y
_atom_site_fract_z
_atom_site_occupancy
Ga1 Ga 0.746 0.750 0.254 1
Ga2 Ga 0.254 0.250 0.746 1
S1 S 0.407 0.499 0.691 1
S2 S 0.309 0.001 0.593 1
S3 S 0.593 0.501 0.309 1
S4 S 0.691 0.999 0.407 1
S5 S 0.028 0.049 0.591 1
S6 S 0.409 0.451 0.972 1
S7 S 0.972 0.951 0.409 1
S8 S 0.591 0.549 0.028 1
S9 S 0.236 0.878 0.975 1
S10 S 0.025 0.622 0.764 1
S11 S 0.764 0.122 0.025 1
S12 S 0.975 0.378 0.236 1
O1 O 0.381 0.170 0.098 1
O2 O 0.902 0.330 0.619 1
O3 O 0.619 0.830 0.902 1
O4 O 0.098 0.670 0.381 1
```

---

| no. | DOS at the Fermi energy (states/eV/f.u.) |
| --- | --- |
| 1 | 2.86 |
| 2 | 7.47 |
| 3 | 7.87 |
| 4 | 2.46 |
| 5 | 3.17 |
| 6 | 3.93 |
| 7 | 4.88 |
| 8 | 4.19 |